Entry 1:
A plane-wave DFT calculation with PBE was carried out for crystalline Sm2Dy5Er12 at its relaxed geometry.

Values from the calculation:
calculated density = 8.790 Mg/m³
final energy = -4.57 eV per atom

Cell: 6.1083 9.3384 10.5812 Å, 101.03 95.59 90.10°
Last column: nearest neighbours and their distance in Å.
Space group P-1 (No. 2)
Inequivalent atoms, fractional coordinates:
Sm1 0.0793 0.3155 0.4735 x2  9 Er 3.52-3.54, 2 Dy 3.53, 1 Sm 3.54
Dy1 0.2375 0.9474 0.4207 x2  2 Dy 3.52-3.54, 8 Er 3.52-3.54, 2 Sm 3.53
Dy2 0.3419 0.3682 0.0520 x2  10 Er 3.51-3.53, 2 Dy 3.53
Dy3 0.5000 0.0000 0.0000 x1  10 Er 3.51-3.52, 2 Dy 3.53
Er1 0.0262 0.1050 0.1568 x2  7 Er 3.50-3.53, 4 Dy 3.52-3.54, 1 Sm 3.53
Er2 0.1316 0.5260 0.7908 x2  7 Er 3.51-3.53, 3 Dy 3.51-3.52, 2 Sm 3.54
Er3 0.1843 0.7369 0.1047 x2  7 Er 3.51-3.53, 5 Dy 3.52-3.53
Er4 0.2895 0.1577 0.7379 x2  5 Dy 3.51-3.53, 6 Er 3.52-3.53, 1 Sm 3.54
Er5 0.3953 0.5792 0.3674 x2  2 Dy 3.52-3.53, 3 Sm 3.52-3.54, 7 Er 3.53-3.55
Er6 0.4472 0.7899 0.6852 x2  4 Dy 3.51-3.54, 6 Er 3.52-3.54, 2 Sm 3.53

Entry 2:
A plane-wave DFT calculation with PBE was carried out for crystalline Sm3DyEr at its relaxed geometry.

Values from the calculation:
calculated density = 7.301 Mg/m³
final energy = -4.36 eV per atom

Cell: 3.6206 11.7298 8.5548 Å, 90.00 102.13 90.00°
Last column: nearest neighbours and their distance in Å.
Space group P2_1/m (No. 11)
Inequivalent atoms, fractional coordinates:
Sm1 0.1505 0.0020 0.2979 x4  2 Er 3.43, 5 Sm 3.52-3.83, 1 Dy 3.71
Sm2 0.3123 0.2500 0.6231 x2  2 Er 3.26, 2 Dy 3.41-3.42, 6 Sm 3.52-3.62
Dy1 0.0121 0.7500 0.0303 x2  2 Er 3.30, 2 Sm 3.41-3.42, 2 Dy 3.62
Er1 0.3487 0.7500 0.7009 x2  6 Sm 3.26-3.43, 2 Dy 3.30, 2 Er 3.62

Entry 3:
A plane-wave DFT calculation with PBE was carried out for crystalline Sm4DyEr2 at its relaxed geometry.

Values from the calculation:
calculated density = 7.945 Mg/m³
final energy = -4.60 eV per atom

Cell: 11.8851 24.0722 6.4196 Å, 90.00 90.00 90.00°
Last column: nearest neighbours and their distance in Å.
Space group Fdd2 (No. 43)
Inequivalent atoms, fractional coordinates:
Sm1 0.0529 0.0702 0.0000 x16  4 Er 3.41-3.63, 4 Sm 3.42-3.61, 2 Dy 3.64-3.72
Sm2 0.0694 0.1435 0.5312 x16  5 Sm 3.42-3.57, 3 Er 3.54-3.83, 2 Dy 3.56-3.61
Dy1 0.0000 0.0000 0.4927 x8  4 Er 3.45-3.58, 8 Sm 3.56-3.72
Er1 0.0256 0.2155 0.0569 x16  6 Sm 3.41-3.63, 2 Dy 3.45-3.58, 2 Er 3.66

Entry 4:
A plane-wave DFT calculation with PBE was carried out for crystalline Sm5DyEr2 at its relaxed geometry.

Values from the calculation:
calculated density = 7.951 Mg/m³
final energy = -4.65 eV per atom

Cell: 7.1756 14.3501 5.0657 Å, 90.00 90.00 90.00°
Last column: nearest neighbours and their distance in Å.
Space group Pbam (No. 55)
Inequivalent atoms, fractional coordinates:
Sm1 0.0000 0.0000 0.0000 x2  4 Er 3.58, 6 Sm 3.58-3.60, 2 Dy 3.59
Sm2 0.0006 0.2506 0.0000 x4  1 Dy 3.58, 4 Er 3.58-3.59, 7 Sm 3.58-3.60
Sm3 0.2491 0.6244 0.5000 x4  4 Er 3.57-3.60, 2 Dy 3.58, 6 Sm 3.58-3.59
Dy1 0.0000 0.5000 0.0000 x2  8 Sm 3.58-3.59, 4 Er 3.58
Er1 0.2501 0.3755 0.5000 x4  10 Sm 3.57-3.60, 2 Dy 3.58

Entry 5:
A plane-wave DFT calculation with PBE was carried out for crystalline Sm4Dy2Er3 at its relaxed geometry.

Values from the calculation:
calculated density = 8.219 Mg/m³
final energy = -4.55 eV per atom

Cell: 16.7422 11.6617 5.9608 Å, 90.00 97.35 90.00°
Last column: nearest neighbours and their distance in Å.
Space group C2/c (No. 15)
Inequivalent atoms, fractional coordinates:
Sm1 0.0635 0.1102 0.0454 x8  3 Sm 3.33-3.46, 4 Er 3.39-3.51, 1 Dy 3.64
Sm2 0.2284 0.3907 0.8812 x8  2 Dy 3.28-3.43, 4 Er 3.39-3.50, 2 Sm 3.46-3.61
Dy1 0.1029 0.3934 0.2926 x8  3 Sm 3.28-3.64, 4 Er 3.41-3.50, 1 Dy 3.42
Er1 0.0000 0.3492 0.7500 x4  2 Sm 3.39, 6 Dy 3.45-3.50
Er2 0.1678 0.1519 0.5816 x8  7 Sm 3.39-3.51, 1 Dy 3.41

Entry 6:
A plane-wave DFT calculation with PBE was carried out for crystalline SmDy2Er at its relaxed geometry.

Values from the calculation:
calculated density = 8.396 Mg/m³
final energy = -4.58 eV per atom

Cell: 11.5786 6.0489 7.2589 Å, 90.00 90.00 90.00°
Last column: nearest neighbours and their distance in Å.
Space group Pna2_1 (No. 33)
Inequivalent atoms, fractional coordinates:
Sm1 0.1255 0.1642 0.0000 x4  7 Dy 3.48-3.63, 4 Er 3.48-3.54
Dy1 0.1184 0.6666 0.7498 x4  3 Er 3.40-3.63, 4 Sm 3.48-3.54, 4 Dy 3.49-3.54
Dy2 0.1246 0.1651 0.4998 x4  4 Dy 3.49-3.54, 4 Er 3.49-3.54, 3 Sm 3.51-3.63
Er1 0.1180 0.6670 0.2499 x4  7 Dy 3.40-3.63, 4 Sm 3.48-3.54

Entry 7:
A plane-wave DFT calculation with PBE was carried out for crystalline Sm8DyEr5 at its relaxed geometry.

Values from the calculation:
calculated density = 7.763 Mg/m³
final energy = -4.40 eV per atom

Cell: 9.6059 9.6059 10.2076 Å, 90.00 90.00 90.00°
Last column: nearest neighbours and their distance in Å.
Space group I-4 (No. 82)
Inequivalent atoms, fractional coordinates:
Sm1 0.0690 0.1737 0.1538 x8  5 Er 3.35-3.58, 3 Sm 3.59-3.65
Sm2 0.0894 0.3236 0.4969 x8  4 Er 3.16-3.48, 1 Dy 3.23
Dy1 0.0000 0.0000 0.5000 x2  4 Sm 3.23
Er1 0.0000 0.5000 0.2500 x2  8 Sm 3.16-3.35
Er2 0.1093 0.2948 0.8238 x8  8 Sm 3.35-3.58, 2 Er 3.50

Entry 8:
A plane-wave DFT calculation with PBE was carried out for crystalline SmDy4Er15 at its relaxed geometry.

Values from the calculation:
calculated density = 8.927 Mg/m³
final energy = -4.56 eV per atom

Cell: 4.9754 4.9754 24.8663 Å, 90.00 90.00 90.00°
Last column: nearest neighbours and their distance in Å.
Space group P4/mmm (No. 123)
Inequivalent atoms, fractional coordinates:
Sm1 0.0000 0.0000 0.0000 x1  12 Er 3.52-3.53
Dy1 0.0000 0.0000 0.2006 x2  12 Er 3.51-3.52
Dy2 0.0000 0.0000 0.4002 x2  12 Er 3.51-3.52
Er1 0.0000 0.5000 0.1010 x4  2 Dy 3.51, 8 Er 3.52-3.53, 2 Sm 3.53
Er2 0.0000 0.5000 0.3004 x4  8 Er 3.51-3.52, 4 Dy 3.51
Er3 0.0000 0.5000 0.5000 x2  4 Dy 3.51, 8 Er 3.51-3.52
Er4 0.5000 0.5000 0.0000 x1  4 Sm 3.52, 8 Er 3.53
Er5 0.5000 0.5000 0.2009 x2  8 Er 3.51-3.52, 4 Dy 3.52
Er6 0.5000 0.5000 0.4001 x2  8 Er 3.51, 4 Dy 3.52

Entry 9:
A plane-wave DFT calculation with PBE was carried out for crystalline SmDy7Er12 at its relaxed geometry.

Values from the calculation:
calculated density = 7.853 Mg/m³
final energy = -3.86 eV per atom

Cell: 11.1695 11.1695 11.1695 Å, 90.00 90.00 90.00°
Last column: nearest neighbours and their distance in Å.
Space group Im-3m (No. 229)
Inequivalent atoms, fractional coordinates:
Sm1 0.0000 0.0000 0.0000 x2  12 Er 4.00
Dy1 0.0000 0.0000 0.5000 x6  12 Er 3.90-3.95
Dy2 0.2500 0.2500 0.2500 x8  6 Er 2.79
Er1 0.0000 0.2530 0.2530 x24  2 Dy 2.79

Entry 10:
A plane-wave DFT calculation with PBE was carried out for crystalline Sm5Dy3Er4 at its relaxed geometry.

Values from the calculation:
calculated density = 8.041 Mg/m³
final energy = -4.40 eV per atom

Cell: 16.1937 5.8788 9.2721 Å, 90.00 116.75 90.00°
Last column: nearest neighbours and their distance in Å.
Space group C2/m (No. 12)
Inequivalent atoms, fractional coordinates:
Sm1 0.0000 0.0000 0.0000 x2  4 Dy 2.94-3.07
Sm2 0.0766 0.5000 0.7007 x4  2 Dy 3.24-3.51, 1 Sm 3.42, 2 Er 3.61
Sm3 0.1743 0.5000 0.3859 x4  4 Dy 3.21-3.44, 3 Er 3.44-3.55
Dy1 0.0000 0.5000 0.0000 x2  2 Sm 2.94
Dy2 0.2080 0.0000 0.2280 x4  3 Sm 3.07-3.24, 2 Er 3.30-3.43
Er1 0.0805 0.0000 0.4390 x4  2 Er 3.27-3.65, 1 Dy 3.43, 3 Sm 3.44-3.55
Er2 0.2149 0.0000 0.8780 x4  3 Dy 3.30-3.50, 3 Er 3.57-3.65, 3 Sm 3.61-3.63

Entry 11:
A plane-wave DFT calculation with PBE was carried out for crystalline Sm2DyEr2 at its relaxed geometry.

Values from the calculation:
calculated density = 7.763 Mg/m³
final energy = -4.35 eV per atom

Cell: 9.2416 13.2916 6.0183 Å, 90.00 112.59 90.00°
Last column: nearest neighbours and their distance in Å.
Space group C2/c (No. 15)
Inequivalent atoms, fractional coordinates:
Sm1 0.1839 0.0759 0.3711 x8  1 Sm 3.14, 2 Dy 3.28-3.47, 2 Er 3.34-3.42
Dy1 0.0000 0.4367 0.7500 x4  4 Sm 3.28-3.47, 4 Er 3.44-3.55, 2 Dy 3.45
Er1 0.0000 0.1697 0.7500 x4  2 Er 3.50, 1 Dy 3.55, 6 Sm 3.55-3.68
Er2 0.0000 0.3042 0.2500 x4  4 Sm 3.34-3.42, 3 Dy 3.44-3.49, 2 Er 3.50

Entry 12:
A plane-wave DFT calculation with PBE was carried out for crystalline Sm2Dy3Er at its relaxed geometry.

Values from the calculation:
calculated density = 8.072 Mg/m³
final energy = -4.47 eV per atom

Cell: 14.8437 9.6625 5.9864 Å, 90.00 113.69 90.00°
Last column: nearest neighbours and their distance in Å.
Space group C2/c (No. 15)
Inequivalent atoms, fractional coordinates:
Sm1 0.1332 0.2179 0.3860 x8  2 Sm 3.23-3.62, 1 Dy 3.44, 2 Er 3.59-3.61
Dy1 0.0000 0.1092 0.7500 x4  6 Sm 3.64-3.67, 4 Dy 3.66, 2 Er 4.06
Dy2 0.2317 0.4165 0.9742 x8  3 Dy 3.26-3.40, 1 Sm 3.44, 2 Er 3.56-3.60
Er1 0.0000 0.5000 0.0000 x4  2 Er 2.99